No. 1
Material: Zr5V
Method: DFT, GGA-PBE
State: relaxed

Cell and atoms, written as extended XYZ:
```
6
Lattice="4.9229 0.0000 0.0000 0.0000 4.8975 0.0000 0.0000 -2.4487 5.3891" Properties=species:S:1:pos:R:3 pbc="T T T"
Zr 0.0000 2.4487 1.7128
Zr 0.0000 0.0000 3.6763
Zr 2.4615 2.4487 0.0000
Zr 2.4615 0.0000 1.7312
Zr 2.4615 2.4487 3.6579
V 0.0000 0.0000 0.0000
```

Results
D(E_F) (states/eV per atom): 1.61
ΔE_f (eV per atom): 0.145
Space group: Cmmm, No. 65
Uncorrected energy (eV per cell): -50.99
Calculated volume (Å³ per atom): 21.7

No. 2
Material: KMnTc
Method: DFT, GGA-PBE
State: relaxed

Cell and atoms, written as extended XYZ:
```
6
Lattice="-2.0796 1.3454 -1.4143 0.3416 -2.6962 -3.0673 -8.2042 -7.3205 5.5956" Properties=species:S:1:pos:R:3 pbc="T T T"
Tc -7.2502 -6.8617 3.9914
Tc -6.9507 -6.5296 0.9957
Mn -8.4291 -7.8092 1.9550
Mn -5.7721 -5.5816 3.0318
K -2.3209 -0.7263 -0.9303
K -3.5993 -5.3955 0.3726
```

Results
Energy above the most stable polymorph in this dataset (meV/atom): 0
D(E_F) (states/eV per atom): 0.86
ΔE_f (eV per atom): 0.563
Space group: P1, No. 1
Uncorrected energy (eV per cell): -37.89
Calculated volume (Å³ per atom): 24.0

No. 3
Material: ScTl5Br8
Method: DFT, GGA-PBE
State: relaxed

Cell and atoms, written as extended XYZ:
```
14
Lattice="9.0264 -0.3465 -2.7333 -5.0561 7.4855 -2.7333 0.1927 0.3465 9.4292" Properties=species:S:1:pos:R:3 pbc="T T T"
Br -0.9144 3.5606 5.9436
Br 4.1979 2.3433 -0.7697
Br -3.1562 6.3672 3.7051
Br 3.3619 2.6831 3.9880
Br 1.6809 6.3841 -1.2364
Br -2.5898 6.2906 -0.1848
Br 0.6555 6.8080 2.8480
Br -0.6657 3.3373 1.5570
Tl -0.8348 6.6771 -3.0913
Tl 1.9852 3.5695 -2.7333
Tl 2.9214 4.3258 1.3028
Tl 6.0620 2.7217 5.5889
Tl 0.1776 1.2464 4.1250
Sc -1.4391 5.7008 1.9814
```

Results
D(E_F) (states/eV per atom): 0.00
Space group: I-4, No. 82
Uncorrected energy (eV per cell): -46.05
Calculated volume (Å³ per atom): 45.6

No. 4
Material: BaReN3
Method: DFT, GGA-PBE
State: relaxed

Cell and atoms, written as extended XYZ:
```
10
Lattice="-2.0486 -2.7907 -4.5797 -3.9266 -3.5372 4.7263 -2.3847 3.4682 -1.0976" Properties=species:S:1:pos:R:3 pbc="T T T"
Re -4.1794 -3.7522 3.6137
Re -2.1852 -2.0827 -1.9996
Ba -5.5631 -3.0717 -0.0022
Ba -3.7270 0.9502 0.4268
N -4.1986 -1.4204 -1.8395
N -4.8164 -1.1444 2.1885
N -2.0350 -2.2201 -3.8674
N -1.9392 -0.7425 -0.4951
N -4.4125 -0.1874 -2.1611
N -4.0992 -2.1917 2.4524
```

Results
D(E_F) (states/eV per atom): 0.27
Space group: P1, No. 1
Uncorrected energy (eV per cell): -81.21
Calculated volume (Å³ per atom): 17.0

No. 5
Material: ReNiSn3
Method: DFT, GGA-PBE
State: relaxed

Cell and atoms, written as extended XYZ:
```
5
Lattice="-3.8736 3.3924 -0.4420 0.3056 -0.3219 -5.1489 -3.4074 -3.8854 0.0407" Properties=species:S:1:pos:R:3 pbc="T T T"
Sn 0.1528 -0.1610 -2.5745
Sn -1.7037 -1.9427 0.0203
Sn -1.9368 1.6962 -0.2210
Re 0.0000 0.0000 0.0000
Ni -3.4877 -0.4074 -2.7751
```

Results
Energy above the most stable polymorph in this dataset (meV/atom): 0
D(E_F) (states/eV per atom): 5.50
ΔE_f (eV per atom): 0.808
Space group: Pm-3m, No. 221
Uncorrected energy (eV per cell): -26.20
Calculated volume (Å³ per atom): 27.6

No. 6
Material: SmSnAuSe
Method: DFT, GGA-PBE
State: relaxed

Cell and atoms, written as extended XYZ:
```
8
Lattice="-2.3632 3.8324 -1.2299 -3.0692 1.8993 2.9593 6.5869 8.5223 5.0424" Properties=species:S:1:pos:R:3 pbc="T T T"
Sn -0.9205 2.6115 1.0499
Sn 2.0750 11.6425 5.7219
Sm 3.8577 6.3735 3.5910
Sm -2.7032 7.8805 3.1808
Se -0.4610 9.6459 4.3733
Se 1.6154 4.6081 2.3986
Au 3.5295 9.4514 4.9560
Au -2.3751 4.8026 1.8158
```

Results
D(E_F) (states/eV per atom): 0.65
Space group: R-3m, No. 166
Uncorrected energy (eV per cell): -38.43
Calculated volume (Å³ per atom): 27.3

No. 7
Material: BaNi3P
Method: DFT, GGA-PBE
State: relaxed

Cell and atoms, written as extended XYZ:
```
5
Lattice="4.4617 0.0000 0.0000 0.0000 4.4617 0.0000 0.0000 0.0000 4.4617" Properties=species:S:1:pos:R:3 pbc="T T T"
Ni 0.0000 0.0000 2.2308
Ni 0.0000 2.2308 0.0000
Ni 2.2308 0.0000 0.0000
Ba 2.2308 2.2308 2.2308
P 0.0000 0.0000 0.0000
```

Results
Energy above the most stable polymorph in this dataset (meV/atom): 0
D(E_F) (states/eV per atom): 2.07
ΔE_f (eV per atom): -0.179
Space group: Pm-3m, No. 221
Uncorrected energy (eV per cell): -25.57
Calculated volume (Å³ per atom): 17.8

No. 8
Material: BaGa6Pd3
Method: DFT, GGA-PBE
State: relaxed

Cell and atoms, written as extended XYZ:
```
20
Lattice="-2.0844 -6.5659 1.1769 5.5793 -0.9605 4.5230 -6.8219 2.8536 3.8380" Properties=species:S:1:pos:R:3 pbc="T T T"
Ba 0.0000 0.0000 0.0000
Ba -1.6635 -2.3364 4.7689
Pd -2.1517 -0.0195 2.6800
Pd -1.1754 -4.6533 6.8579
Pd -0.1748 -4.4052 2.4632
Pd -4.4532 -1.8561 2.5074
Pd -3.1522 -0.2676 7.0746
Pd 2.7896 -0.4803 2.2615
Ga -2.0096 -2.7279 1.4305
Ga -1.6840 -6.0031 4.4846
Ga -4.0566 0.0536 4.5979
Ga -1.3175 -1.9449 8.1074
Ga 0.6186 -0.3388 6.6702
Ga 2.2553 -1.5027 4.8776
Ga -3.9457 -4.3340 2.8676
Ga -5.5824 -3.1701 4.6603
Ga -1.6430 1.3303 5.0532
Ga 0.7296 -4.7264 4.9399
Ga -4.2746 -2.4665 6.8831
Ga 0.9475 -2.2063 2.6548
```

Results
D(E_F) (states/eV per atom): 0.44
ΔE_f (eV per atom): -0.438
Space group: P2_1/c, No. 14
Uncorrected energy (eV per cell): -80.08
Calculated volume (Å³ per atom): 19.4